[1]
Below is a geometry-optimized Zn2CrBS structure, with properties calculated at the PBE-GGA level.

Computed properties:
The calculation puts the density of states at the Fermi level at 1.3 states/eV/f.u. The value obtained for the raw total energy is -4.123 eV per atom. The value obtained for the magnetic moment is 0.899 μB/atom. The formation energy from raw total energies is 228 kJ/mol of formula units.

a = 3.926 Å, b = 3.926 Å, c = 5.459 Å
α = 90.00°, β = 90.00°, γ = 90.00°
Space group P4/mmm (No. 123)
Symmetry-distinct sites (fractional):
Zn  0.000  0.500  0.000 (multiplicity 2)
Cr  0.000  0.000  0.500 (multiplicity 1)
B  0.500  0.500  0.000 (multiplicity 1)
S  0.500  0.500  0.500 (multiplicity 1)

[2]
Below is a geometry-optimized ZrCrB2S structure, with properties calculated at the PBE-GGA level.

Computed properties:
The calculation puts the density of states at the Fermi level at 6.3 states/eV/f.u. The value obtained for the raw total energy is -5.477 eV per atom. The value obtained for the magnetic moment is 0.002 μB/atom. The formation energy from raw total energies is 798 kJ/mol of formula units.

a = 4.370 Å, b = 4.370 Å, c = 4.865 Å
α = 90.00°, β = 90.00°, γ = 90.00°
Space group P4/mmm (No. 123)
Symmetry-distinct sites (fractional):
Zr  0.000  0.000  0.000 (multiplicity 1)
Cr  0.500  0.500  0.500 (multiplicity 1)
B  0.000  0.500  0.000 (multiplicity 2)
S  0.000  0.000  0.500 (multiplicity 1)